# 1
# CsKBeI4 | the Alexandria database | PBE | relaxed
data_CsKBeI4
_cell_length_a 7.7030
_cell_length_b 8.1325
_cell_length_c 10.6380
_cell_angle_alpha 90.00
_cell_angle_beta 109.55
_cell_angle_gamma 90.00
_symmetry_space_group_name_H-M 'P 1 21/m 1'
_symmetry_Int_Tables_number 11
loop_
_symmetry_equiv_pos_as_xyz
'x,y,z'
'-x,-y,-z'
'-x,y+1/2,-z'
'x,-y+1/2,z'
loop_
_atom_site_label
_atom_site_fract_x
_atom_site_fract_y
_atom_site_fract_z
Cs1 0.2021 0.2500 0.4159
K1 0.2886 0.2500 0.9577
Be1 0.3064 0.7500 0.2020
I1 0.1085 0.7500 0.3392
I2 0.1306 0.7500 0.9649
I3 0.4937 0.0088 0.7480
# Final energy, eV per formula unit: -19.833
# Formation energy from raw total energies, meV/atom: -1137

# 2
# TbPr2Bi3 | the Alexandria database | PBE | relaxed
data_TbPr2Bi3
_cell_length_a 7.9565
_cell_length_b 13.7858
_cell_length_c 7.9514
_cell_angle_alpha 90.00
_cell_angle_beta 109.48
_cell_angle_gamma 90.00
_symmetry_space_group_name_H-M 'C 1 2/m 1'
_symmetry_Int_Tables_number 12
loop_
_symmetry_equiv_pos_as_xyz
'x,y,z'
'-x,-y,-z'
'-x,y,-z'
'x,-y,z'
'x+1/2,y+1/2,z'
'-x+1/2,-y+1/2,-z'
'-x+1/2,y+1/2,-z'
'x+1/2,-y+1/2,z'
loop_
_atom_site_label
_atom_site_fract_x
_atom_site_fract_y
_atom_site_fract_z
Tb1 0.0000 0.1675 0.0000
Pr1 0.0000 0.0000 0.5000
Pr2 0.0000 0.3355 0.5000
Pr3 0.0000 0.5000 0.0000
Bi1 0.2417 0.0000 0.2420
Bi2 0.2491 0.1692 0.7556
# Final energy, eV per formula unit: -31.406
# ΔE_f, meV per atom: -929.0

# 3
# CsCu4SeS2 | the Alexandria database | PBE | relaxed
data_CsCu4SeS2
_cell_length_a 3.9631
_cell_length_b 3.9631
_cell_length_c 10.1731
_cell_angle_alpha 90.00
_cell_angle_beta 90.00
_cell_angle_gamma 90.00
_symmetry_space_group_name_H-M 'P 4/m m m'
_symmetry_Int_Tables_number 123
_symmetry_space_group_name_Hall '-P 4 2'
loop_
_atom_site_label
_atom_site_fract_x
_atom_site_fract_y
_atom_site_fract_z
Cs1 0.0000 0.0000 0.0000
Cu1 0.0000 0.5000 0.3349
Se1 0.0000 0.0000 0.5000
S1 0.5000 0.5000 0.2200
# Final energy, eV per formula unit: -32.234
# Formation energy from raw total energies, meV/atom: -407

# 4
# Mn2TcMoN | the Alexandria database | PBE | relaxed
data_Mn2TcMoN
_cell_length_a 3.7938
_cell_length_b 3.7938
_cell_length_c 4.0733
_cell_angle_alpha 90.00
_cell_angle_beta 90.00
_cell_angle_gamma 90.00
_symmetry_space_group_name_H-M 'P 4/m m m'
_symmetry_Int_Tables_number 123
_symmetry_space_group_name_Hall '-P 4 2'
loop_
_atom_site_label
_atom_site_fract_x
_atom_site_fract_y
_atom_site_fract_z
Mn1 0.0000 0.5000 0.0000
Tc1 0.0000 0.0000 0.5000
Mo1 0.5000 0.5000 0.5000
N1 0.5000 0.5000 0.0000
# Final energy, eV per formula unit: -48.250
# Formation energy from raw total energies, meV/atom: -78
# Energy above the lowest structure with this stoichiometry, eV/atom: 0.000

# 5
# Pr6TmPb10 | the Alexandria database | PBE | relaxed
data_Pr6TmPb10
_cell_length_a 9.6304
_cell_length_b 9.6304
_cell_length_c 6.5994
_cell_angle_alpha 90.00
_cell_angle_beta 90.00
_cell_angle_gamma 120.00
_symmetry_space_group_name_H-M 'P -3 1 m'
_symmetry_Int_Tables_number 162
_symmetry_space_group_name_Hall '-P 3 2'
loop_
_atom_site_label
_atom_site_fract_x
_atom_site_fract_y
_atom_site_fract_z
Pr1 0.0000 0.3892 0.2632
Tm1 0.0000 0.0000 0.5000
Pb1 0.0000 0.2541 0.7969
Pb2 0.3333 0.6667 0.0000
Pb3 0.3333 0.6667 0.5000
# Final energy, eV per formula unit: -77.234
# ΔE_f, meV per atom: -411.9

# 6
# PmNpSbAu | the Alexandria database | PBE | relaxed
data_PmNpSbAu
_cell_length_a 7.4889
_cell_length_b 7.4889
_cell_length_c 7.4889
_cell_angle_alpha 90.00
_cell_angle_beta 90.00
_cell_angle_gamma 90.00
_symmetry_space_group_name_H-M 'F -4 3 m'
_symmetry_Int_Tables_number 216
_symmetry_space_group_name_Hall 'F -4 2 3'
loop_
_atom_site_label
_atom_site_fract_x
_atom_site_fract_y
_atom_site_fract_z
Pm1 0.0000 0.0000 0.0000
Np1 0.0000 0.0000 0.5000
Sb1 0.2500 0.2500 0.7500
Au1 0.2500 0.2500 0.2500
# Final energy, eV per formula unit: -26.771
# Formation energy from raw total energies, meV/atom: -420

# 7
# TlSn2As | the Alexandria database | PBE | relaxed
data_TlSn2As
_cell_length_a 3.7930
_cell_length_b 3.7930
_cell_length_c 7.4877
_cell_angle_alpha 90.00
_cell_angle_beta 90.00
_cell_angle_gamma 90.00
_symmetry_space_group_name_H-M 'P 4/m m m'
_symmetry_Int_Tables_number 123
_symmetry_space_group_name_Hall '-P 4 2'
loop_
_atom_site_label
_atom_site_fract_x
_atom_site_fract_y
_atom_site_fract_z
Tl1 0.0000 0.0000 0.0000
Sn1 0.5000 0.5000 0.2971
As1 0.0000 0.0000 0.5000
# Final energy, eV per formula unit: -14.825
# ΔE_f, meV per atom: 49.0
# Energy above the lowest structure with this stoichiometry, eV/atom: 0.030

# 8
# YMg3Ga | the Alexandria database | PBE | relaxed
data_YMg3Ga
_cell_length_a 5.0735
_cell_length_b 5.0735
_cell_length_c 5.0735
_cell_angle_alpha 90.00
_cell_angle_beta 90.00
_cell_angle_gamma 90.00
_symmetry_space_group_name_H-M 'P m -3 m'
_symmetry_Int_Tables_number 221
_symmetry_space_group_name_Hall '-P 4 2 3'
loop_
_atom_site_label
_atom_site_fract_x
_atom_site_fract_y
_atom_site_fract_z
Y1 0.0000 0.0000 0.0000
Mg1 0.0000 0.5000 0.5000
Ga1 0.5000 0.5000 0.5000
# Final energy, eV per formula unit: -13.543
# ΔE_f, meV per atom: 146.3
# Energy above the lowest structure with this stoichiometry, eV/atom: 0.000

# 9
# PrZn3Ga | the Alexandria database | PBE | relaxed
data_PrZn3Ga
_cell_length_a 6.0815
_cell_length_b 6.0965
_cell_length_c 6.0288
_cell_angle_alpha 90.00
_cell_angle_beta 119.77
_cell_angle_gamma 90.00
_symmetry_space_group_name_H-M 'C 1 m 1'
_symmetry_Int_Tables_number 8
loop_
_symmetry_equiv_pos_as_xyz
'x,y,z'
'x,-y,z'
'x+1/2,y+1/2,z'
'x+1/2,-y+1/2,z'
loop_
_atom_site_label
_atom_site_fract_x
_atom_site_fract_y
_atom_site_fract_z
Pr1 0.0000 0.0000 0.0000
Zn1 0.3784 0.0000 0.7567
Zn2 0.4989 0.2520 0.4986
Ga1 0.1136 0.5000 0.2286
# Final energy, eV per formula unit: -13.712
# ΔE_f, meV per atom: -416.8
# Energy above the lowest structure with this stoichiometry, eV/atom: 0.000

# 10
# LaGa4Pd2Ru | the Alexandria database | PBE | relaxed
data_LaGa4Pd2Ru
_cell_length_a 4.2883
_cell_length_b 4.2883
_cell_length_c 27.2845
_cell_angle_alpha 90.00
_cell_angle_beta 90.00
_cell_angle_gamma 120.00
_symmetry_space_group_name_H-M 'R -3 m'
_symmetry_Int_Tables_number 166
_symmetry_space_group_name_Hall '-R 3 2"'
loop_
_atom_site_label
_atom_site_fract_x
_atom_site_fract_y
_atom_site_fract_z
La1 0.0000 0.0000 0.0000
Ga1 0.0000 0.0000 0.1345
Ga2 0.0000 0.0000 0.4036
Pd1 0.0000 0.0000 0.2337
Ru1 0.0000 0.0000 0.5000
# Final energy, eV per formula unit: -41.543
# ΔE_f, meV per atom: -605.8

# 11
# Li2GaNi2 | the Alexandria database | PBE | relaxed
data_Li2GaNi2
_cell_length_a 6.5427
_cell_length_b 6.5427
_cell_length_c 2.7271
_cell_angle_alpha 90.00
_cell_angle_beta 90.00
_cell_angle_gamma 90.00
_symmetry_space_group_name_H-M 'P 4/m b m'
_symmetry_Int_Tables_number 127
_symmetry_space_group_name_Hall '-P 4 2ab'
loop_
_atom_site_label
_atom_site_fract_x
_atom_site_fract_y
_atom_site_fract_z
Li1 0.1157 0.3843 0.0000
Ga1 0.0000 0.0000 0.0000
Ni1 0.1875 0.6875 0.5000
# Final energy, eV per formula unit: -18.473
# ΔE_f, meV per atom: -11.1
# Energy above the lowest structure with this stoichiometry, eV/atom: 0.214

# 12
# SiPd2Cl | the Alexandria database | PBE | relaxed
data_SiPd2Cl
_cell_length_a 6.3204
_cell_length_b 6.3204
_cell_length_c 6.3204
_cell_angle_alpha 90.00
_cell_angle_beta 90.00
_cell_angle_gamma 90.00
_symmetry_space_group_name_H-M 'F m -3 m'
_symmetry_Int_Tables_number 225
_symmetry_space_group_name_Hall '-F 4 2 3'
loop_
_atom_site_label
_atom_site_fract_x
_atom_site_fract_y
_atom_site_fract_z
Si1 0.0000 0.0000 0.0000
Pd1 0.2500 0.2500 0.2500
Cl1 0.0000 0.0000 0.5000
# Final energy, eV per formula unit: -17.720
# Formation energy from raw total energies, meV/atom: -16
# Energy above the lowest structure with this stoichiometry, eV/atom: 0.117

Number 3 is which compound?
CsCu4SeS2